{
  "formula": "TbCePr6Ho2",
  "functional": "PBE",
  "state": "relaxed",
  "lattice_angstrom": [[-4.4843, 1.4999, -7.5491], [-3.5229, -6.1425, 0.8722], [-1.5112, 5.5034, 3.4734]],
  "species": ["Tb", "Ce", "Pr", "Pr", "Pr", "Pr", "Pr", "Pr", "Ho", "Ho"],
  "fractional_positions": [[0.5000, 0.0000, 0.0000], [0.0000, 0.5000, 0.0000], [0.4192, 0.6290, 0.2581], [0.2034, 0.0632, 0.6599], [0.7966, 0.4032, 0.3401], [0.2034, 0.5968, 0.6599], [0.7966, 0.9368, 0.3401], [0.5808, 0.3710, 0.7419], [0.1606, 0.0930, 0.1860], [0.8394, 0.9070, 0.8140]],
  "space_group": "C2/m, No. 12",
  "n_ef_per_ev_cell": 22.12,
  "final_energy_ev_per_atom": -4.61
}